A relaxed HoV2GaO8 crystal, computed with PBE with a Hubbard U.

## Properties
As for the space group: I-4m2. Its density of states at the Fermi level is 0.0 states/eV/cell. The uncorrected energy is -7.30 eV/atom.

abc: 5.7982 5.7982 5.7982
angles: 107.36 107.36 113.79
Last column: nearest neighbours and their distance in Å.
Element x y z (fractional)
Ho  0.0000  0.0000  0.0000  4 O 2.18
V  0.2500  0.7500  0.5000  4 O 1.72
V  0.5000  0.5000  0.0000  4 O 1.76
Ga  0.7500  0.2500  0.5000  4 O 2.11
O  0.0707  0.3819  0.3112  1 V 1.72
O  0.0707  0.7594  0.6888  1 V 1.72
O  0.1267  0.3278  0.7989  1 V 1.76
O  0.2406  0.9293  0.3112  1 V 1.72
O  0.5289  0.3278  0.2011  1 V 1.76
O  0.6181  0.9293  0.6888  1 V 1.72
O  0.6722  0.4711  0.7989  1 V 1.76
O  0.6722  0.8733  0.2011  1 V 1.76